(1)
The following is a GGA-PBE calculation of a relaxed structure of TiTePdCl2, from the Alexandria database.

Structure (CIF):
```
data_TiTePdCl2
_cell_length_a 4.514
_cell_length_b 4.514
_cell_length_c 5.691
_cell_angle_alpha 90.00
_cell_angle_beta 90.00
_cell_angle_gamma 90.00
_space_group_name_H-M_alt 'P 4/m m m'
_space_group_IT_number 123
_space_group_name_Hall '-P 4 2'
loop_
_atom_site_label
_atom_site_type_symbol
_atom_site_fract_x
_atom_site_fract_y
_atom_site_fract_z
Ti1 Ti 0.000 0.000 0.000
Te1 Te 0.500 0.500 0.500
Pd1 Pd 0.000 0.000 0.500
Cl1 Cl 0.000 0.500 0.000
```

uncorrected formation energy = -1.81 eV/f.u.
DOS at the Fermi energy = 3.6 states/eV per cell
total energy = -4.347 eV per atom
total magnetization = 0.0 Bohr magnetons per cell
volume = 23.2 A^3/atom

=====

(2)
The following is a GGA-PBE calculation of a relaxed structure of Y3TePdCl, from the Alexandria database.

Structure (CIF):
```
data_Y3TePdCl
_cell_length_a 8.530
_cell_length_b 4.096
_cell_length_c 9.818
_cell_angle_alpha 90.00
_cell_angle_beta 96.52
_cell_angle_gamma 90.00
_space_group_name_H-M_alt 'P 1 21/m 1'
_space_group_IT_number 11
_space_group_name_Hall '-P 2yb'
loop_
_atom_site_label
_atom_site_type_symbol
_atom_site_fract_x
_atom_site_fract_y
_atom_site_fract_z
Y1 Y 0.137 0.250 0.309
Y2 Y 0.146 0.250 0.910
Y3 Y 0.308 0.750 0.620
Te1 Te 0.411 0.750 0.319
Pd1 Pd 0.063 0.250 0.603
Cl1 Cl 0.355 0.750 0.912
```

uncorrected formation energy = -6.75 eV/f.u.
DOS at the Fermi energy = 11.1 states/eV per cell
total energy = -6.054 eV per atom
total magnetization = 0.0 Bohr magnetons per cell
volume = 28.4 A^3/atom

=====

Q: What is the uncorrected formation energy in the first record?
A: -1.81 eV/f.u.

=====

Q: Which value of total energy does entry 2 give?
A: -6.054 eV per atom